## Zn5P (PBE)

Data for an optimized crystal structure of Zn5P.

Properties
The calculation puts the volume at 94 Å³/f.u. As for the total magnetization: 0.0000 μB per atom. Its formation enthalpy at 0 K is 0.72 eV/f.u. The calculation puts the uncorrected energy at -1.843 eV/atom. Its energy above the lowest structure with this stoichiometry is 61 meV/atom.

Lattice parameters (Å, degrees): 7.448 7.448 4.952 90.00 90.00 159.97
Atoms (fractional coordinates):
Zn (0.804, 0.196, 0.500)
Zn (0.639, 0.361, 0.000)
Zn (0.139, 0.861, 0.500)
Zn (0.307, 0.693, 0.000)
Zn (0.472, 0.528, 0.500)
P (0.972, 0.028, 0.000)